1.
The following is a DFT calculation (GGA-PBE) of a relaxed CoCu2Br crystal.

a = 4.199 Å, b = 4.199 Å, c = 6.136 Å
α = 99.96°, β = 99.96°, γ = 43.68°
Positions (direct):
Co 0.000 0.000 0.000
Cu 0.264 0.264 0.845
Cu 0.526 0.526 0.685
Br 0.585 0.585 0.305

Summary:
The calculation puts the density of states at the Fermi level at 5.6 states/eV/cell. The value obtained for the uncorrected formation energy is 0.38 eV/atom. For the total magnetization, the calculation gives 0.491 μB per atom. Its total DFT energy (no corrections) is -15.44 eV/cell.



2.
The following is a DFT calculation (GGA-PBE) of a relaxed MnAlAs crystal.

a = 4.253 Å, b = 4.253 Å, c = 2.802 Å
α = 90.00°, β = 90.00°, γ = 120.00°
Positions (direct):
Mn 0.000 0.000 0.000
Al 0.667 0.333 0.500
As 0.333 0.667 0.000

Summary:
The calculation puts the density of states at the Fermi level at 2.0 states/eV/cell. The energy of formation from the pure elements is 0.094 eV/atom. For the total magnetization, the calculation gives 0.649 μB per atom. Its total DFT energy (no corrections) is -17.28 eV/cell.



3.
The following is a DFT calculation (GGA-PBE) of a relaxed Ag2AuS crystal.

a = 8.832 Å, b = 8.832 Å, c = 8.832 Å
α = 20.14°, β = 20.14°, γ = 20.14°
Positions (direct):
Ag 0.000 0.000 0.000
Ag 0.177 0.177 0.177
Au 0.422 0.422 0.422
S 0.589 0.589 0.589

Summary:
The calculation puts the density of states at the Fermi level at 2.1 states/eV/cell. The value obtained for the uncorrected formation energy is 0.18 eV/atom. For the total magnetization, the calculation gives 0.000 μB per atom. Its total DFT energy (no corrections) is -12.37 eV/cell.



4.
The following is a DFT calculation (GGA-PBE) of a relaxed ZrTc2Ru2 crystal.

a = 7.571 Å, b = 7.571 Å, c = 2.790 Å
α = 90.00°, β = 90.00°, γ = 90.00°
Positions (direct):
Zr 0.000 0.000 0.000
Zr 0.500 0.500 0.000
Tc 0.121 0.379 0.000
Tc 0.379 0.879 0.000
Tc 0.621 0.121 0.000
Tc 0.879 0.621 0.000
Ru 0.173 0.673 0.500
Ru 0.327 0.173 0.500
Ru 0.673 0.827 0.500
Ru 0.827 0.327 0.500

Summary:
The calculation puts the density of states at the Fermi level at 10.1 states/eV/cell. The energy of formation from the pure elements is -0.042 eV/atom. For the total magnetization, the calculation gives 0.000 μB per atom. Its total DFT energy (no corrections) is -96.09 eV/cell.



5.
The following is a DFT calculation (GGA-PBE) of a relaxed KHg2Pt crystal.

a = 3.230 Å, b = 4.365 Å, c = 7.957 Å
α = 90.00°, β = 90.00°, γ = 90.00°
Positions (direct):
K 0.000 0.000 0.000
Hg 0.000 0.000 0.399
Hg 0.500 0.500 0.706
Pt 0.500 0.500 0.349

Summary:
The calculation puts the density of states at the Fermi level at 1.2 states/eV/cell. The energy of formation from the pure elements is -0.069 eV/atom. For the total magnetization, the calculation gives 0.000 μB per atom. Its total DFT energy (no corrections) is -8.02 eV/cell.



6.
The following is a DFT calculation (GGA-PBE) of a relaxed Ce2FeH crystal.

a = 6.732 Å, b = 6.732 Å, c = 6.732 Å
α = 31.46°, β = 31.46°, γ = 31.46°
Positions (direct):
Ce 0.000 0.000 0.000
Ce 0.168 0.168 0.168
Fe 0.583 0.583 0.583
H 0.416 0.416 0.416

Summary:
The calculation puts the density of states at the Fermi level at 5.8 states/eV/cell. For the total magnetization, the calculation gives 0.001 μB per atom. Its total DFT energy (no corrections) is -23.81 eV/cell.



7.
The following is a DFT calculation (GGA-PBE) of a relaxed PmSm5Dy2 crystal.

a = 6.694 Å, b = 9.033 Å, c = 9.557 Å
α = 88.27°, β = 85.60°, γ = 68.27°
Positions (direct):
Pm 0.065 0.371 0.250
Pm 0.935 0.629 0.750
Sm 0.035 0.746 0.108
Sm 0.204 0.988 0.409
Sm 0.281 0.254 0.609
Sm 0.308 0.988 0.091
Sm 0.344 0.812 0.750
Sm 0.656 0.188 0.250
Sm 0.692 0.012 0.909
Sm 0.719 0.746 0.391
Sm 0.796 0.012 0.591
Sm 0.965 0.254 0.892
Dy 0.285 0.598 0.417
Dy 0.383 0.402 0.918
Dy 0.617 0.598 0.082
Dy 0.715 0.402 0.583

Summary:
The calculation puts the density of states at the Fermi level at 22.3 states/eV/cell. The energy of formation from the pure elements is 0.140 eV/atom. For the total magnetization, the calculation gives 0.000 μB per atom. Its total DFT energy (no corrections) is -72.85 eV/cell.



8.
The following is a DFT calculation (GGA-PBE) of a relaxed CsGaRu2O8 crystal.

a = 9.540 Å, b = 9.540 Å, c = 9.540 Å
α = 32.13°, β = 32.13°, γ = 32.13°
Positions (direct):
Cs 0.000 0.000 0.000
Ga 0.500 0.500 0.500
Ru 0.231 0.231 0.231
Ru 0.769 0.769 0.769
O 0.136 0.746 0.489
O 0.254 0.511 0.864
O 0.296 0.296 0.296
O 0.489 0.136 0.746
O 0.511 0.864 0.254
O 0.704 0.704 0.704
O 0.746 0.489 0.136
O 0.864 0.254 0.511

Summary:
The calculation puts the density of states at the Fermi level at 2.9 states/eV/cell. The value obtained for the uncorrected formation energy is -1.06 eV/atom. For the total magnetization, the calculation gives 0.335 μB per atom. Its total DFT energy (no corrections) is -74.84 eV/cell.



9.
The following is a DFT calculation (GGA-PBE) of a relaxed Mn2TlV crystal.

a = 4.475 Å, b = 4.475 Å, c = 4.475 Å
α = 60.00°, β = 60.00°, γ = 60.00°
Positions (direct):
Mn 0.250 0.250 0.250
Mn 0.750 0.750 0.750
Tl 0.000 0.000 0.000
V 0.500 0.500 0.500

Summary:
The calculation puts the density of states at the Fermi level at 2.4 states/eV/cell. The energy of formation from the pure elements is 0.322 eV/atom. For the total magnetization, the calculation gives 1.077 μB per atom. Its total DFT energy (no corrections) is -28.54 eV/cell.



10.
The following is a DFT calculation (GGA-PBE) of a relaxed MgFe2Mo crystal.

a = 4.760 Å, b = 4.760 Å, c = 4.760 Å
α = 134.06°, β = 134.06°, γ = 66.99°
Positions (direct):
Mg 0.000 0.000 0.000
Fe 0.500 0.500 0.000
Fe 0.750 0.250 0.500
Mo 0.250 0.750 0.500

Summary:
The calculation puts the density of states at the Fermi level at 3.4 states/eV/cell. The energy of formation from the pure elements is 0.359 eV/atom. For the total magnetization, the calculation gives 0.750 μB per atom. Its total DFT energy (no corrections) is -27.92 eV/cell.



11.
The following is a DFT calculation (GGA-PBE) of a relaxed InNi7Ge2 crystal.

a = 9.635 Å, b = 9.635 Å, c = 9.635 Å
α = 157.24°, β = 157.24°, γ = 32.41°
Positions (direct):
In 0.000 0.000 0.000
Ni 0.099 0.599 0.500
Ni 0.250 0.750 0.500
Ni 0.401 0.901 0.500
Ni 0.500 0.500 0.000
Ni 0.599 0.099 0.500
Ni 0.750 0.250 0.500
Ni 0.901 0.401 0.500
Ge 0.327 0.327 0.000
Ge 0.673 0.673 0.000

Summary:
The calculation puts the density of states at the Fermi level at 4.7 states/eV/cell. The energy of formation from the pure elements is -0.136 eV/atom. For the total magnetization, the calculation gives 0.000 μB per atom. Its total DFT energy (no corrections) is -53.80 eV/cell.



12.
The following is a DFT calculation (GGA-PBE) of a relaxed Zr5GaSn crystal.

a = 5.986 Å, b = 5.986 Å, c = 10.886 Å
α = 101.87°, β = 101.87°, γ = 59.67°
Positions (direct):
Zr 0.091 0.706 0.998
Zr 0.170 0.830 0.750
Zr 0.192 0.292 0.754
Zr 0.292 0.192 0.254
Zr 0.294 0.909 0.502
Zr 0.706 0.091 0.498
Zr 0.708 0.808 0.746
Zr 0.808 0.708 0.246
Zr 0.830 0.170 0.250
Zr 0.909 0.294 0.002
Ga 0.000 0.500 0.500
Ga 0.500 0.000 0.000
Sn 0.339 0.661 0.250
Sn 0.661 0.339 0.750

Summary:
The calculation puts the density of states at the Fermi level at 12.9 states/eV/cell. The energy of formation from the pure elements is -0.053 eV/atom. For the total magnetization, the calculation gives 0.000 μB per atom. Its total DFT energy (no corrections) is -100.28 eV/cell.



Which of these has the highest total magnetization? Mn2TlV